An optimized crystal structure of TiTe2Cl5, computed with PBE-GGA.

a b c (Å): 6.5637 7.3232 8.9097
angles (deg): 76.07 71.72 69.26
With the nearest neighbours (Å) after each atom.
Element x y z (fractional)
Ti  0.0000  0.0000  0.0000  4 Cl 2.18
Te  0.5461  0.4717  0.4822  1 Te 2.60
Te  0.8318  0.5631  0.5746  1 Cl 2.43, 1 Te 2.60
Cl  0.0095  0.2460  0.0926  1 Ti 2.18
Cl  0.1199  0.0455  0.7398  1 Ti 2.18
Cl  0.2150  0.7205  0.0950  1 Ti 2.18
Cl  0.6547  0.9913  0.0626  1 Ti 2.18
Cl  0.7560  0.9186  0.5099  1 Te 2.43

Output
* uncorrected formation energy: -957 meV per atom
* crystal system: triclinic
* raw total energy: -3.884 eV per atom